A plane-wave DFT calculation with PBE-GGA was carried out for a geometry-optimized AcCeNdDy structure.

Results
Raw total energy in Ry/atom: -0.3410
D(E_F) in states/eV per cell: 12.6

abc: 5.8878 5.8878 5.8878
angles: 60.00 60.00 60.00
Closest atoms and distances in Å follow each position.
Sites, in units of the cell vectors:
Ac 0.0000 0.0000 0.0000  4 Dy 3.61, 4 Nd 3.61
Ce 0.5000 0.5000 0.5000  4 Dy 3.61, 4 Nd 3.61
Nd 0.7500 0.7500 0.7500  4 Ce 3.61, 4 Ac 3.61
Dy 0.2500 0.2500 0.2500  4 Ac 3.61, 4 Ce 3.61


A plane-wave DFT calculation with PBE-GGA was carried out for a geometry-optimized Ac2Zn9Ga structure.

Results
Raw total energy in Ry/atom: -0.1430
D(E_F) in states/eV per cell: 9.5

abc: 9.2810 9.2810 9.2810
angles: 36.34 36.34 36.34
Closest atoms and distances in Å follow each position.
Sites, in units of the cell vectors:
Ac 0.1364 0.1364 0.1364  12 Zn 3.26-3.48, 1 Ga 3.54
Ac 0.8636 0.8636 0.8636  12 Zn 3.26-3.48, 1 Ga 3.54
Zn 0.0750 0.5811 0.5811  7 Zn 2.64-2.93
Zn 0.3345 0.3345 0.3345  6 Zn 2.64-2.66
Zn 0.4189 0.4189 0.9250  7 Zn 2.64-2.93
Zn 0.4189 0.9250 0.4189  7 Zn 2.64-2.93
Zn 0.5000 0.5000 0.5000  6 Zn 2.84
Zn 0.5811 0.0750 0.5811  7 Zn 2.64-2.93
Zn 0.5811 0.5811 0.0750  7 Zn 2.64-2.93
Zn 0.6655 0.6655 0.6655  6 Zn 2.64-2.66
Zn 0.9250 0.4189 0.4189  7 Zn 2.64-2.93
Ga 0.0000 0.0000 0.0000  18 Zn 3.34-3.55, 2 Ac 3.54


A plane-wave DFT calculation with PBE-GGA was carried out for a geometry-optimized Ti5Nb2Rh structure.

Results
Raw total energy in Ry/atom: -0.6279
D(E_F) in states/eV per cell: 13.0

abc: 6.4230 5.6102 5.5468
angles: 70.29 55.32 54.39
Closest atoms and distances in Å follow each position.
Sites, in units of the cell vectors:
Ti 0.0000 0.0000 0.0000  8 Ti 2.70-2.91, 2 Nb 2.92
Ti 0.0280 0.0280 0.4720  4 Nb 2.77-2.85, 2 Rh 2.77, 2 Ti 2.79
Ti 0.0281 0.5094 0.9719  2 Ti 2.70-2.91, 4 Nb 2.73-2.83, 2 Rh 2.81
Ti 0.5094 0.0281 0.4906  2 Ti 2.70-2.91, 4 Nb 2.73-2.83, 2 Rh 2.81
Ti 0.5280 0.5280 0.9720  4 Nb 2.77-2.85, 2 Rh 2.77, 2 Ti 2.79
Nb 0.0214 0.5453 0.4547  9 Ti 2.73-2.92
Nb 0.5453 0.0214 0.9786  9 Ti 2.73-2.92
Rh 0.5235 0.5235 0.4765  8 Ti 2.77-2.81


A plane-wave DFT calculation with PBE-GGA was carried out for a geometry-optimized ThHg2Au structure.

Results
Raw total energy in Ry/atom: -0.2276
D(E_F) in states/eV per cell: 2.0
Offset from the most stable computed form in meV per atom: 102

abc: 4.3976 4.3976 5.1621
angles: 90.00 90.00 90.00
Closest atoms and distances in Å follow each position.
Sites, in units of the cell vectors:
Th 0.0000 0.0000 0.0000  4 Au 3.11, 8 Hg 3.39
Hg 0.0000 0.5000 0.5000  4 Hg 3.11, 4 Th 3.39, 4 Au 3.39
Hg 0.5000 0.0000 0.5000  4 Hg 3.11, 4 Th 3.39, 4 Au 3.39
Au 0.5000 0.5000 0.0000  4 Th 3.11, 8 Hg 3.39


A plane-wave DFT calculation with PBE-GGA was carried out for a geometry-optimized Ba3NaAu4 structure.

Results
Raw total energy in Ry/atom: -0.2296
D(E_F) in states/eV per cell: 5.1

abc: 3.9901 3.9901 15.1472
angles: 90.00 90.00 90.00
Closest atoms and distances in Å follow each position.
Sites, in units of the cell vectors:
Ba 0.0000 0.0000 0.0000  8 Au 3.47
Ba 0.0000 0.0000 0.2702  8 Au 3.46-3.50, 1 Na 3.48
Ba 0.0000 0.0000 0.7298  8 Au 3.46-3.50, 1 Na 3.48
Na 0.0000 0.0000 0.5000  8 Au 3.18, 2 Ba 3.48
Au 0.5000 0.5000 0.1334  8 Ba 3.47-3.50
Au 0.5000 0.5000 0.4029  1 Au 2.94, 4 Na 3.18
Au 0.5000 0.5000 0.5971  1 Au 2.94, 4 Na 3.18
Au 0.5000 0.5000 0.8666  8 Ba 3.47-3.50